1.
Below is a relaxed ZrCu2P crystal, with properties calculated at the PBEsol level. Values from VASP.

As for the space group: Immm. The value obtained for the density of states at the Fermi level is 0.506 states/eV per atom. The calculated total energy is -24.929 eV/cell.

Geometry as Quantum ESPRESSO input:
```
&SYSTEM
  ibrav = 0, nat = 4, ntyp = 3
/
ATOMIC_SPECIES
Zr 91.22 Zr.upf
Cu 63.55 Cu.upf
P 30.97 P.upf
CELL_PARAMETERS angstrom
-1.6637 1.9710 4.4200
1.6637 -1.9710 4.4200
1.6637 1.9710 -4.4200
ATOMIC_POSITIONS angstrom
Zr 0.0000 0.0000 0.0000
Cu 1.6637 0.0000 2.4017
Cu 0.0000 1.9710 2.0183
P 0.0000 0.0000 4.4200
```


2.
Below is a relaxed Er2ZnCu crystal, with properties calculated at the PBEsol level. Values from VASP.

As for the space group: Fm-3m. The value obtained for the density of states at the Fermi level is 0.626 states/eV per atom. The calculated total energy is -16.947 eV/cell.

Geometry as Quantum ESPRESSO input:
```
&SYSTEM
  ibrav = 0, nat = 4, ntyp = 3
/
ATOMIC_SPECIES
Er 167.26 Er.upf
Zn 65.41 Zn.upf
Cu 63.55 Cu.upf
CELL_PARAMETERS angstrom
0.0000 3.4228 3.4228
3.4228 0.0000 3.4228
3.4228 3.4228 0.0000
ATOMIC_POSITIONS angstrom
Er 1.7114 1.7114 1.7114
Er 5.1342 5.1342 5.1342
Zn 0.0000 0.0000 0.0000
Cu 3.4228 3.4228 3.4228
```


3.
Below is a relaxed KMnTe2 crystal, with properties calculated at the PBEsol level. Values from VASP.

As for the space group: I-4m2. Its energy relative to the elements, uncorrected is -0.35 eV per atom. The value obtained for the density of states at the Fermi level is 0.431 states/eV per atom. The calculated total energy is -19.365 eV/cell.

Geometry as Quantum ESPRESSO input:
```
&SYSTEM
  ibrav = 0, nat = 4, ntyp = 3
/
ATOMIC_SPECIES
K 39.10 K.upf
Mn 54.94 Mn.upf
Te 127.60 Te.upf
CELL_PARAMETERS angstrom
-2.1362 2.1362 6.8652
2.1362 -2.1362 6.8652
2.1362 2.1362 -6.8652
ATOMIC_POSITIONS angstrom
K 0.0000 0.0000 0.0000
Mn 0.0000 2.1362 3.4326
Te 0.0000 0.0000 4.8968
Te 0.0000 0.0000 8.8335
```


4.
Below is a relaxed Y3TaSn crystal, with properties calculated at the PBEsol level. Values from VASP.

As for the space group: Pm-3m. The value obtained for the density of states at the Fermi level is 0.724 states/eV per atom. The calculated total energy is -34.754 eV/cell.

Geometry as Quantum ESPRESSO input:
```
&SYSTEM
  ibrav = 0, nat = 5, ntyp = 3
/
ATOMIC_SPECIES
Y 88.91 Y.upf
Ta 180.95 Ta.upf
Sn 118.71 Sn.upf
CELL_PARAMETERS angstrom
5.3193 0.0000 0.0000
0.0000 5.3193 0.0000
0.0000 0.0000 5.3193
ATOMIC_POSITIONS angstrom
Y 0.0000 0.0000 2.6596
Y 0.0000 2.6596 0.0000
Y 2.6596 0.0000 0.0000
Ta 0.0000 0.0000 0.0000
Sn 2.6596 2.6596 2.6596
```


Repeat the third record exactly.
Below is a relaxed KMnTe2 crystal, with properties calculated at the PBEsol level. Values from VASP.

As for the space group: I-4m2. Its energy relative to the elements, uncorrected is -0.35 eV per atom. The value obtained for the density of states at the Fermi level is 0.431 states/eV per atom. The calculated total energy is -19.365 eV/cell.

Geometry as Quantum ESPRESSO input:
```
&SYSTEM
  ibrav = 0, nat = 4, ntyp = 3
/
ATOMIC_SPECIES
K 39.10 K.upf
Mn 54.94 Mn.upf
Te 127.60 Te.upf
CELL_PARAMETERS angstrom
-2.1362 2.1362 6.8652
2.1362 -2.1362 6.8652
2.1362 2.1362 -6.8652
ATOMIC_POSITIONS angstrom
K 0.0000 0.0000 0.0000
Mn 0.0000 2.1362 3.4326
Te 0.0000 0.0000 4.8968
Te 0.0000 0.0000 8.8335
```


What did the fourth record say?
Below is a relaxed Y3TaSn crystal, with properties calculated at the PBEsol level. Values from VASP.

As for the space group: Pm-3m. The value obtained for the density of states at the Fermi level is 0.724 states/eV per atom. The calculated total energy is -34.754 eV/cell.

Geometry as Quantum ESPRESSO input:
```
&SYSTEM
  ibrav = 0, nat = 5, ntyp = 3
/
ATOMIC_SPECIES
Y 88.91 Y.upf
Ta 180.95 Ta.upf
Sn 118.71 Sn.upf
CELL_PARAMETERS angstrom
5.3193 0.0000 0.0000
0.0000 5.3193 0.0000
0.0000 0.0000 5.3193
ATOMIC_POSITIONS angstrom
Y 0.0000 0.0000 2.6596
Y 0.0000 2.6596 0.0000
Y 2.6596 0.0000 0.0000
Ta 0.0000 0.0000 0.0000
Sn 2.6596 2.6596 2.6596
```


calculated total energy of number 4 (Y3TaSn)?
-34.754 eV/cell


Which value of calculated total energy does entry 3 give?
-19.365 eV/cell